Entry from Alexandria via LeMat-Bulk: a relaxed structure of LaTa2BPt (PBE-GGA).

## Properties
**N(E_F)**: 1.609 states/eV/atom
**Volume**: 25.736 A^3/atom
**E_tot**: -5.30 eV per atom
**Crystal system**: tetragonal
**ΔE_f**: 2.972 eV per atom
**Total moment**: 0.001 μB/atom

The structure in CIF format:
```
data_LaTa2BPt
_chemical_formula_sum 'La1 Ta2 B1 Pt1'
_cell_length_a 5.077
_cell_length_b 5.077
_cell_length_c 4.992
_cell_angle_alpha 90.00
_cell_angle_beta 90.00
_cell_angle_gamma 90.00
_symmetry_space_group_name_H-M 'P 1'
_symmetry_Int_Tables_number 1
loop_
_symmetry_equiv_pos_as_xyz
'x,y,z'
loop_
_atom_site_label
_atom_site_type_symbol
_atom_site_fract_x
_atom_site_fract_y
_atom_site_fract_z
La1 La 0.000 0.000 0.000
Ta1 Ta 0.000 0.500 0.000
Ta2 Ta 0.500 0.000 0.000
B1 B 0.500 0.500 0.500
Pt1 Pt 0.000 0.000 0.500
```

***

Entry from Alexandria via LeMat-Bulk: a relaxed structure of Tm2BiPb (PBE-GGA).

## Properties
**N(E_F)**: 0.786 states/eV/atom
**Volume**: 28.089 A^3/atom
**E_tot**: -4.57 eV per atom
**Crystal system**: tetragonal
**ΔE_f**: -0.442 eV per atom
**Total moment**: 0.001 μB/atom

The structure in CIF format:
```
data_Tm2BiPb
_chemical_formula_sum 'Tm2 Bi1 Pb1'
_cell_length_a 4.039
_cell_length_b 4.039
_cell_length_c 6.887
_cell_angle_alpha 90.00
_cell_angle_beta 90.00
_cell_angle_gamma 90.00
_symmetry_space_group_name_H-M 'P 1'
_symmetry_Int_Tables_number 1
loop_
_symmetry_equiv_pos_as_xyz
'x,y,z'
loop_
_atom_site_label
_atom_site_type_symbol
_atom_site_fract_x
_atom_site_fract_y
_atom_site_fract_z
Tm1 Tm 0.000 0.000 0.248
Tm2 Tm 0.000 0.000 0.752
Bi1 Bi 0.500 0.500 0.000
Pb1 Pb 0.500 0.500 0.500
```

***

Entry from Alexandria via LeMat-Bulk: a relaxed structure of YBi2Pt2 (PBE-GGA).

## Properties
**N(E_F)**: 0.576 states/eV/atom
**Volume**: 23.407 A^3/atom
**E_tot**: -5.55 eV per atom
**Crystal system**: tetragonal
**ΔE_f**: -0.289 eV per atom
**Total moment**: 0.063 μB/atom

The structure in CIF format:
```
data_YBi2Pt2
_chemical_formula_sum 'Y2 Bi4 Pt4'
_cell_length_a 8.168
_cell_length_b 8.168
_cell_length_c 3.508
_cell_angle_alpha 90.00
_cell_angle_beta 90.00
_cell_angle_gamma 90.00
_symmetry_space_group_name_H-M 'P 1'
_symmetry_Int_Tables_number 1
loop_
_symmetry_equiv_pos_as_xyz
'x,y,z'
loop_
_atom_site_label
_atom_site_type_symbol
_atom_site_fract_x
_atom_site_fract_y
_atom_site_fract_z
Y1 Y 0.000 0.000 0.000
Y2 Y 0.500 0.500 0.000
Bi1 Bi 0.143 0.357 0.000
Bi2 Bi 0.357 0.857 0.000
Bi3 Bi 0.643 0.143 0.000
Bi4 Bi 0.857 0.643 0.000
Pt1 Pt 0.161 0.661 0.500
Pt2 Pt 0.339 0.161 0.500
Pt3 Pt 0.661 0.839 0.500
Pt4 Pt 0.839 0.339 0.500
```

***

Entry from Alexandria via LeMat-Bulk: a relaxed structure of CsNdHgI6 (PBE-GGA).

## Properties
**N(E_F)**: 0.000 states/eV/atom
**Volume**: 54.035 A^3/atom
**E_tot**: -2.75 eV per atom
**Crystal system**: monoclinic
**Formation energy without anion corrections**: -1.06 eV/atom
**Total moment**: 0.000 μB/atom

The structure in CIF format:
```
data_CsNdHgI6
_chemical_formula_sum 'Cs1 Nd1 Hg1 I6'
_cell_length_a 8.384
_cell_length_b 8.384
_cell_length_c 8.434
_cell_angle_alpha 93.64
_cell_angle_beta 93.64
_cell_angle_gamma 124.11
_symmetry_space_group_name_H-M 'P 1'
_symmetry_Int_Tables_number 1
loop_
_symmetry_equiv_pos_as_xyz
'x,y,z'
loop_
_atom_site_label
_atom_site_type_symbol
_atom_site_fract_x
_atom_site_fract_y
_atom_site_fract_z
Cs1 Cs 0.000 0.000 0.000
Nd1 Nd 0.665 0.335 0.500
Hg1 Hg 0.365 0.635 0.500
I1 I 0.017 0.421 0.296
I2 I 0.346 0.327 0.681
I3 I 0.442 0.024 0.214
I4 I 0.579 0.983 0.704
I5 I 0.673 0.654 0.319
I6 I 0.976 0.558 0.786
```

***

Entry from Alexandria via LeMat-Bulk: a relaxed structure of CeTm5Bi6 (PBE-GGA).

## Properties
**N(E_F)**: 0.551 states/eV/atom
**Volume**: 31.421 A^3/atom
**E_tot**: -5.08 eV per atom
**Crystal system**: monoclinic
**ΔE_f**: -0.782 eV per atom
**Total moment**: 0.062 μB/atom

The structure in CIF format:
```
data_CeTm5Bi6
_chemical_formula_sum 'Ce1 Tm5 Bi6'
_cell_length_a 7.730
_cell_length_b 7.730
_cell_length_c 7.733
_cell_angle_alpha 99.60
_cell_angle_beta 99.60
_cell_angle_gamma 120.04
_symmetry_space_group_name_H-M 'P 1'
_symmetry_Int_Tables_number 1
loop_
_symmetry_equiv_pos_as_xyz
'x,y,z'
loop_
_atom_site_label
_atom_site_type_symbol
_atom_site_fract_x
_atom_site_fract_y
_atom_site_fract_z
Ce1 Ce 0.000 0.000 0.000
Tm1 Tm 0.164 0.836 0.500
Tm2 Tm 0.332 0.668 0.000
Tm3 Tm 0.500 0.500 0.500
Tm4 Tm 0.668 0.332 0.000
Tm5 Tm 0.836 0.164 0.500
Bi1 Bi 0.085 0.424 0.254
Bi2 Bi 0.255 0.255 0.749
Bi3 Bi 0.424 0.085 0.254
Bi4 Bi 0.576 0.915 0.746
Bi5 Bi 0.745 0.745 0.251
Bi6 Bi 0.915 0.576 0.746
```

***

Entry from Alexandria via LeMat-Bulk: a relaxed structure of Ba2AlCdTe5 (PBE-GGA).

## Properties
**N(E_F)**: 0.800 states/eV/atom
**Volume**: 36.455 A^3/atom
**E_tot**: -3.63 eV per atom
**Crystal system**: orthorhombic
**Formation energy without anion corrections**: -0.94 eV/atom
**Total moment**: 0.000 μB/atom

The structure in CIF format:
```
data_Ba2AlCdTe5
_chemical_formula_sum 'Ba4 Al2 Cd2 Te10'
_cell_length_a 11.077
_cell_length_b 11.077
_cell_length_c 13.500
_cell_angle_alpha 90.00
_cell_angle_beta 90.00
_cell_angle_gamma 156.66
_symmetry_space_group_name_H-M 'P 1'
_symmetry_Int_Tables_number 1
loop_
_symmetry_equiv_pos_as_xyz
'x,y,z'
loop_
_atom_site_label
_atom_site_type_symbol
_atom_site_fract_x
_atom_site_fract_y
_atom_site_fract_z
Ba1 Ba 0.114 0.886 0.500
Ba2 Ba 0.117 0.883 0.884
Ba3 Ba 0.883 0.117 0.384
Ba4 Ba 0.886 0.114 0.000
Al1 Al 0.432 0.568 0.651
Al2 Al 0.568 0.432 0.151
Cd1 Cd 0.234 0.766 0.232
Cd2 Cd 0.766 0.234 0.732
Te1 Te 0.042 0.958 0.255
Te2 Te 0.282 0.718 0.878
Te3 Te 0.312 0.688 0.598
Te4 Te 0.362 0.638 0.193
Te5 Te 0.490 0.510 0.481
Te6 Te 0.510 0.490 0.981
Te7 Te 0.638 0.362 0.693
Te8 Te 0.688 0.312 0.098
Te9 Te 0.718 0.282 0.378
Te10 Te 0.958 0.042 0.755
```

***

Entry from Alexandria via LeMat-Bulk: a relaxed structure of Tl2TcB (PBE-GGA).

## Properties
**N(E_F)**: 0.740 states/eV/atom
**Volume**: 24.269 A^3/atom
**E_tot**: -4.51 eV per atom
**Crystal system**: tetragonal
**ΔE_f**: 0.936 eV per atom
**Total moment**: 0.000 μB/atom

The structure in CIF format:
```
data_Tl2TcB
_chemical_formula_sum 'Tl4 Tc2 B2'
_cell_length_a 7.198
_cell_length_b 7.198
_cell_length_c 7.198
_cell_angle_alpha 94.59
_cell_angle_beta 94.59
_cell_angle_gamma 147.13
_symmetry_space_group_name_H-M 'P 1'
_symmetry_Int_Tables_number 1
loop_
_symmetry_equiv_pos_as_xyz
'x,y,z'
loop_
_atom_site_label
_atom_site_type_symbol
_atom_site_fract_x
_atom_site_fract_y
_atom_site_fract_z
Tl1 Tl 0.000 0.000 0.000
Tl2 Tl 0.000 0.000 0.500
Tl3 Tl 0.000 0.500 0.000
Tl4 Tl 0.500 0.000 0.500
Tc1 Tc 0.375 0.625 0.750
Tc2 Tc 0.625 0.375 0.250
B1 B 0.125 0.875 0.250
B2 B 0.875 0.125 0.750
```

***

Entry from Alexandria via LeMat-Bulk: a relaxed structure of Tb2HfB2Rh5 (PBE-GGA).

## Properties
**N(E_F)**: 0.302 states/eV/atom
**Volume**: 15.248 A^3/atom
**E_tot**: -7.77 eV per atom
**Crystal system**: tetragonal
**ΔE_f**: -0.834 eV per atom
**Total moment**: 0.000 μB/atom

The structure in CIF format:
```
data_Tb2HfB2Rh5
_chemical_formula_sum 'Tb4 Hf2 B4 Rh10'
_cell_length_a 9.680
_cell_length_b 9.680
_cell_length_c 3.255
_cell_angle_alpha 90.00
_cell_angle_beta 90.00
_cell_angle_gamma 90.00
_symmetry_space_group_name_H-M 'P 1'
_symmetry_Int_Tables_number 1
loop_
_symmetry_equiv_pos_as_xyz
'x,y,z'
loop_
_atom_site_label
_atom_site_type_symbol
_atom_site_fract_x
_atom_site_fract_y
_atom_site_fract_z
Tb1 Tb 0.175 0.325 0.000
Tb2 Tb 0.325 0.825 0.000
Tb3 Tb 0.675 0.175 0.000
Tb4 Tb 0.825 0.675 0.000
Hf1 Hf 0.000 0.000 0.000
Hf2 Hf 0.500 0.500 0.000
B1 B 0.119 0.619 0.000
B2 B 0.381 0.119 0.000
B3 B 0.619 0.881 0.000
B4 B 0.881 0.381 0.000
Rh1 Rh 0.000 0.500 0.500
Rh2 Rh 0.071 0.776 0.500
Rh3 Rh 0.224 0.071 0.500
Rh4 Rh 0.276 0.571 0.500
Rh5 Rh 0.429 0.276 0.500
Rh6 Rh 0.500 0.000 0.500
Rh7 Rh 0.571 0.724 0.500
Rh8 Rh 0.724 0.429 0.500
Rh9 Rh 0.776 0.929 0.500
Rh10 Rh 0.929 0.224 0.500
```

***

Entry from Alexandria via LeMat-Bulk: a relaxed structure of ZrNi2BOs (PBE-GGA).

## Properties
**N(E_F)**: 0.644 states/eV/atom
**Volume**: 13.023 A^3/atom
**E_tot**: -7.96 eV per atom
**Crystal system**: tetragonal
**ΔE_f**: -0.355 eV per atom
**Total moment**: 0.000 μB/atom

The structure in CIF format:
```
data_ZrNi2BOs
_chemical_formula_sum 'Zr1 Ni2 B1 Os1'
_cell_length_a 3.972
_cell_length_b 3.972
_cell_length_c 4.127
_cell_angle_alpha 90.00
_cell_angle_beta 90.00
_cell_angle_gamma 90.00
_symmetry_space_group_name_H-M 'P 1'
_symmetry_Int_Tables_number 1
loop_
_symmetry_equiv_pos_as_xyz
'x,y,z'
loop_
_atom_site_label
_atom_site_type_symbol
_atom_site_fract_x
_atom_site_fract_y
_atom_site_fract_z
Zr1 Zr 0.000 0.000 0.000
Ni1 Ni 0.000 0.500 0.500
Ni2 Ni 0.500 0.000 0.500
B1 B 0.500 0.500 0.500
Os1 Os 0.500 0.500 0.000
```

***

- Which of these has the lowest N(E_F)?
  CsNdHgI6

***

- Number 6 is which compound?
  Ba2AlCdTe5

***

- What is the formula in the seventh record?
  Tl2TcB